<P>
Tb3DyAg2: relaxed, PBE-GGA.

Calculated volume   30.625 Å³ per atom
Total moment   0.0 μB/cell

Structure (CIF):
```
data_Tb3DyAg2
_space_group_name_H-M_alt 'I b a m'
_space_group_IT_number 72
_space_group_name_Hall '-I 2 2c'
_cell_length_a 7.064
_cell_length_b 13.991
_cell_length_c 7.437
_cell_angle_alpha 90.00
_cell_angle_beta 90.00
_cell_angle_gamma 90.00
loop_
_atom_site_label
_atom_site_type_symbol
_atom_site_fract_x
_atom_site_fract_y
_atom_site_fract_z
Tb1 Tb 0.000 0.000 0.250
Tb2 Tb 0.000 0.272 0.250
Dy1 Dy 0.000 0.500 0.000
Ag1 Ag 0.201 0.142 0.000
```

---

<Q>
Tb3DyAg2: relaxed, PBE-GGA.

Calculated volume   27.039 Å³ per atom
Total moment   0.0 μB/cell

Structure (CIF):
```
data_Tb3DyAg2
_space_group_name_H-M_alt 'P 4/m m m'
_space_group_IT_number 123
_space_group_name_Hall '-P 4 2'
_cell_length_a 3.630
_cell_length_b 3.630
_cell_length_c 12.309
_cell_angle_alpha 90.00
_cell_angle_beta 90.00
_cell_angle_gamma 90.00
loop_
_atom_site_label
_atom_site_type_symbol
_atom_site_fract_x
_atom_site_fract_y
_atom_site_fract_z
Tb1 Tb 0.000 0.000 0.000
Tb2 Tb 0.000 0.000 0.299
Dy1 Dy 0.500 0.500 0.500
Ag1 Ag 0.500 0.500 0.150
```

---

Winner for stability: <Q>

---

<P>
Tb2Dy2Ag: relaxed, PBE-GGA.

Calculated volume   30.973 Å³ per atom
Total moment   6.1 μB/cell

Structure (CIF):
```
data_Tb2Dy2Ag
_space_group_name_H-M_alt 'I 41/a m d'
_space_group_IT_number 141
_cell_length_a 5.027
_cell_length_b 5.027
_cell_length_c 24.515
_cell_angle_alpha 90.00
_cell_angle_beta 90.00
_cell_angle_gamma 90.00
loop_
_space_group_symop_operation_xyz
'x,y,z'
'-x,-y,-z'
'-y+1/4,x+3/4,z+1/4'
'y+1/4,-x+3/4,-z+1/4'
'-x+1/2,-y,z+1/2'
'x+1/2,y,-z+1/2'
'y+1/4,-x+1/4,z+3/4'
'-y+1/4,x+1/4,-z+3/4'
'x,-y,-z'
'-x,y,z'
'-y+1/4,-x+1/4,-z+3/4'
'y+1/4,x+1/4,z+3/4'
'-x+1/2,y,-z+1/2'
'x+1/2,-y,z+1/2'
'y+1/4,x+3/4,-z+1/4'
'-y+1/4,-x+3/4,z+1/4'
'x+1/2,y+1/2,z+1/2'
'-x+1/2,-y+1/2,-z+1/2'
'-y+3/4,x+1/4,z+3/4'
'y+3/4,-x+1/4,-z+3/4'
'-x,-y+1/2,z'
'x,y+1/2,-z'
'y+3/4,-x+3/4,z+1/4'
'-y+3/4,x+3/4,-z+1/4'
'x+1/2,-y+1/2,-z+1/2'
'-x+1/2,y+1/2,z+1/2'
'-y+3/4,-x+3/4,-z+1/4'
'y+3/4,x+3/4,z+1/4'
'-x,y+1/2,-z'
'x,-y+1/2,z'
'y+3/4,x+1/4,-z+3/4'
'-y+3/4,-x+1/4,z+3/4'
loop_
_atom_site_label
_atom_site_type_symbol
_atom_site_fract_x
_atom_site_fract_y
_atom_site_fract_z
Tb1 Tb 0.000 0.250 0.052
Dy1 Dy 0.000 0.250 0.200
Ag1 Ag 0.000 0.250 0.375
```

---

<Q>
Tb2Dy2Ag: relaxed, PBE-GGA.

Calculated volume   28.842 Å³ per atom
Total moment   0.0 μB/cell

Structure (CIF):
```
data_Tb2Dy2Ag
_space_group_name_H-M_alt 'I 4/m m m'
_space_group_IT_number 139
_space_group_name_Hall '-I 4 2'
_cell_length_a 3.555
_cell_length_b 3.555
_cell_length_c 22.815
_cell_angle_alpha 90.00
_cell_angle_beta 90.00
_cell_angle_gamma 90.00
loop_
_atom_site_label
_atom_site_type_symbol
_atom_site_fract_x
_atom_site_fract_y
_atom_site_fract_z
Tb1 Tb 0.000 0.000 0.195
Dy1 Dy 0.000 0.000 0.416
Ag1 Ag 0.000 0.000 0.000
```

---

Winner for stability: <Q>

---

<P>
Dy8TcAg2: relaxed, PBE-GGA.

Calculated volume   27.867 Å³ per atom
Total moment   0.0 μB/cell

Structure (CIF):
```
data_Dy8TcAg2
_space_group_name_H-M_alt 'C 1 m 1'
_space_group_IT_number 8
_space_group_name_Hall 'C -2y'
_cell_length_a 7.702
_cell_length_b 15.598
_cell_length_c 6.110
_cell_angle_alpha 90.00
_cell_angle_beta 123.37
_cell_angle_gamma 90.00
loop_
_atom_site_label
_atom_site_type_symbol
_atom_site_fract_x
_atom_site_fract_y
_atom_site_fract_z
Dy1 Dy 0.000 0.000 0.000
Dy2 Dy 0.011 0.114 0.532
Dy3 Dy 0.051 0.383 0.897
Dy4 Dy 0.052 0.500 0.370
Dy5 Dy 0.274 0.191 0.236
Tc1 Tc 0.285 0.000 0.509
Ag1 Ag 0.286 0.287 0.726
```

---

<Q>
Dy8TcAg2: relaxed, PBE-GGA.

Calculated volume   26.925 Å³ per atom
Total moment   0.0 μB/cell

Structure (CIF):
```
data_Dy8TcAg2
_space_group_name_H-M_alt 'C 1 2/m 1'
_space_group_IT_number 12
_space_group_name_Hall '-C 2y'
_cell_length_a 17.282
_cell_length_b 5.228
_cell_length_c 6.897
_cell_angle_alpha 90.00
_cell_angle_beta 108.09
_cell_angle_gamma 90.00
loop_
_atom_site_label
_atom_site_type_symbol
_atom_site_fract_x
_atom_site_fract_y
_atom_site_fract_z
Dy1 Dy 0.027 0.000 0.294
Dy2 Dy 0.091 0.500 0.932
Dy3 Dy 0.160 0.500 0.464
Dy4 Dy 0.196 0.000 0.799
Tc1 Tc 0.000 0.500 0.500
Ag1 Ag 0.184 0.000 0.207
```

---

Winner for stability: <Q>

---

<P>
Dy4TcAg: relaxed, PBE-GGA.

Calculated volume   26.604 Å³ per atom
Total moment   0.0 μB/cell

Structure (CIF):
```
data_Dy4TcAg
_space_group_name_H-M_alt 'C 1 2/c 1'
_space_group_IT_number 15
_space_group_name_Hall '-C 2yc'
_cell_length_a 8.397
_cell_length_b 12.561
_cell_length_c 6.292
_cell_angle_alpha 90.00
_cell_angle_beta 105.83
_cell_angle_gamma 90.00
loop_
_atom_site_label
_atom_site_type_symbol
_atom_site_fract_x
_atom_site_fract_y
_atom_site_fract_z
Dy1 Dy 0.104 0.173 0.041
Dy2 Dy 0.212 0.422 0.407
Tc1 Tc 0.000 0.001 0.250
Ag1 Ag 0.000 0.373 0.750
```

---

<Q>
Dy4TcAg: relaxed, PBE-GGA.

Calculated volume   28.057 Å³ per atom
Total moment   0.0 μB/cell

Structure (CIF):
```
data_Dy4TcAg
_space_group_name_H-M_alt 'C 1 2/m 1'
_space_group_IT_number 12
_space_group_name_Hall '-C 2y'
_cell_length_a 6.902
_cell_length_b 6.902
_cell_length_c 7.068
_cell_angle_alpha 90.00
_cell_angle_beta 90.06
_cell_angle_gamma 90.00
loop_
_atom_site_label
_atom_site_type_symbol
_atom_site_fract_x
_atom_site_fract_y
_atom_site_fract_z
Dy1 Dy 0.250 0.250 0.233
Tc1 Tc 0.000 0.000 0.000
Ag1 Ag 0.000 0.500 0.500
```

---

Winner for stability: <P>

---

<P>
Dy2AgTe: relaxed, PBE-GGA.

Calculated volume   25.623 Å³ per atom
Total moment   1.0 μB/cell

Structure (CIF):
```
data_Dy2AgTe
_space_group_name_H-M_alt 'P 4/m m m'
_space_group_IT_number 123
_space_group_name_Hall '-P 4 2'
_cell_length_a 3.831
_cell_length_b 3.831
_cell_length_c 6.982
_cell_angle_alpha 90.00
_cell_angle_beta 90.00
_cell_angle_gamma 90.00
loop_
_atom_site_label
_atom_site_type_symbol
_atom_site_fract_x
_atom_site_fract_y
_atom_site_fract_z
Dy1 Dy 0.000 0.000 0.245
Ag1 Ag 0.500 0.500 0.000
Te1 Te 0.500 0.500 0.500
```

---

<Q>
Dy2AgTe: relaxed, PBE-GGA.

Calculated volume   28.159 Å³ per atom
Total moment   0.0 μB/cell

Structure (CIF):
```
data_Dy2AgTe
_space_group_name_H-M_alt 'R -3 m'
_space_group_IT_number 166
_space_group_name_Hall '-R 3 2"'
_cell_length_a 4.1591
_cell_length_b 4.1591
_cell_length_c 22.5567
_cell_angle_alpha 90.00
_cell_angle_beta 90.00
_cell_angle_gamma 120.00
loop_
_atom_site_label
_atom_site_type_symbol
_atom_site_fract_x
_atom_site_fract_y
_atom_site_fract_z
Dy1 Dy 0.0000 0.0000 0.2462
Ag1 Ag 0.0000 0.0000 0.5000
Te1 Te 0.0000 0.0000 0.0000
```

---

Winner for stability: <Q>

---

<P>
Dy2AgTe: relaxed, PBE-GGA.

Calculated volume   27.202 Å³ per atom
Total moment   0.0 μB/cell

Structure (CIF):
```
data_Dy2AgTe
_space_group_name_H-M_alt 'C m c m'
_space_group_IT_number 63
_space_group_name_Hall '-C 2c 2'
_cell_length_a 4.110
_cell_length_b 23.612
_cell_length_c 4.485
_cell_angle_alpha 90.00
_cell_angle_beta 90.00
_cell_angle_gamma 90.00
loop_
_atom_site_label
_atom_site_type_symbol
_atom_site_fract_x
_atom_site_fract_y
_atom_site_fract_z
Dy1 Dy 0.000 0.063 0.250
Dy2 Dy 0.000 0.328 0.250
Ag1 Ag 0.000 0.459 0.250
Te1 Te 0.000 0.195 0.250
```

---

<Q>
Dy2AgTe: relaxed, PBE-GGA.

Calculated volume   28.464 Å³ per atom
Total moment   0.0 μB/cell

Structure (CIF):
```
data_Dy2AgTe
_space_group_name_H-M_alt 'R 3 m'
_space_group_IT_number 160
_space_group_name_Hall 'R 3 -2"'
_cell_length_a 4.1879
_cell_length_b 4.1879
_cell_length_c 22.4883
_cell_angle_alpha 90.00
_cell_angle_beta 90.00
_cell_angle_gamma 120.00
loop_
_atom_site_label
_atom_site_type_symbol
_atom_site_fract_x
_atom_site_fract_y
_atom_site_fract_z
Dy1 Dy 0.0000 0.0000 0.0000
Dy2 Dy 0.0000 0.0000 0.1798
Ag1 Ag 0.0000 0.0000 0.5894
Te1 Te 0.0000 0.0000 0.7577
```

---

Winner for stability: <P>

---

<P>
DyAg2Te3: relaxed, PBE-GGA.

Calculated volume   31.462 Å³ per atom
Total moment   0.0 μB/cell

Structure (CIF):
```
data_DyAg2Te3
_space_group_name_H-M_alt 'P 1 21/m 1'
_space_group_IT_number 11
_space_group_name_Hall '-P 2yb'
_cell_length_a 7.949
_cell_length_b 4.279
_cell_length_c 11.249
_cell_angle_alpha 90.00
_cell_angle_beta 99.39
_cell_angle_gamma 90.00
loop_
_atom_site_label
_atom_site_type_symbol
_atom_site_fract_x
_atom_site_fract_y
_atom_site_fract_z
Dy1 Dy 0.225 0.250 0.204
Ag1 Ag 0.062 0.250 0.917
Ag2 Ag 0.414 0.750 0.417
Te1 Te 0.052 0.750 0.334
Te2 Te 0.281 0.750 0.005
Te3 Te 0.411 0.750 0.671
```

---

<Q>
DyAg2Te3: relaxed, PBE-GGA.

Calculated volume   30.612 Å³ per atom
Total moment   0.0 μB/cell

Structure (CIF):
```
data_DyAg2Te3
_space_group_name_H-M_alt 'C 1 2/m 1'
_space_group_IT_number 12
_space_group_name_Hall '-C 2y'
_cell_length_a 22.146
_cell_length_b 4.282
_cell_length_c 7.776
_cell_angle_alpha 90.00
_cell_angle_beta 94.93
_cell_angle_gamma 90.00
loop_
_atom_site_label
_atom_site_type_symbol
_atom_site_fract_x
_atom_site_fract_y
_atom_site_fract_z
Dy1 Dy 0.151 0.000 0.047
Ag1 Ag 0.043 0.500 0.159
Ag2 Ag 0.206 0.000 0.441
Te1 Te 0.081 0.000 0.373
Te2 Te 0.086 0.500 0.825
Te3 Te 0.246 0.500 0.212
```

---

Winner for stability: <Q>

---

<P>
Dy2ThAg: relaxed, PBE-GGA.

Calculated volume   27.658 Å³ per atom
Total moment   0.0 μB/cell

Structure (CIF):
```
data_Dy2ThAg
_space_group_name_H-M_alt 'P 4/m m m'
_space_group_IT_number 123
_space_group_name_Hall '-P 4 2'
_cell_length_a 3.627
_cell_length_b 3.627
_cell_length_c 8.411
_cell_angle_alpha 90.00
_cell_angle_beta 90.00
_cell_angle_gamma 90.00
loop_
_atom_site_label
_atom_site_type_symbol
_atom_site_fract_x
_atom_site_fract_y
_atom_site_fract_z
Dy1 Dy 0.000 0.000 0.217
Th1 Th 0.500 0.500 0.500
Ag1 Ag 0.500 0.500 0.000
```

---

<Q>
Dy2ThAg: relaxed, PBE-GGA.

Calculated volume   28.584 Å³ per atom
Total moment   0.0 μB/cell

Structure (CIF):
```
data_Dy2ThAg
_space_group_name_H-M_alt 'R -3 m'
_space_group_IT_number 166
_space_group_name_Hall '-R 3 2"'
_cell_length_a 3.5647
_cell_length_b 3.5647
_cell_length_c 31.1686
_cell_angle_alpha 90.00
_cell_angle_beta 90.00
_cell_angle_gamma 120.00
loop_
_atom_site_label
_atom_site_type_symbol
_atom_site_fract_x
_atom_site_fract_y
_atom_site_fract_z
Dy1 Dy 0.0000 0.0000 0.2421
Th1 Th 0.0000 0.0000 0.0000
Ag1 Ag 0.0000 0.0000 0.5000
```

---

Winner for stability: <P>

---

<P>
Dy2ThAg: relaxed, PBE-GGA.

Calculated volume   27.766 Å³ per atom
Total moment   0.0 μB/cell

Structure (CIF):
```
data_Dy2ThAg
_space_group_name_H-M_alt 'P 4/m m m'
_space_group_IT_number 123
_space_group_name_Hall '-P 4 2'
_cell_length_a 5.563
_cell_length_b 5.563
_cell_length_c 3.589
_cell_angle_alpha 90.00
_cell_angle_beta 90.00
_cell_angle_gamma 90.00
loop_
_atom_site_label
_atom_site_type_symbol
_atom_site_fract_x
_atom_site_fract_y
_atom_site_fract_z
Dy1 Dy 0.000 0.500 0.000
Th1 Th 0.000 0.000 0.500
Ag1 Ag 0.500 0.500 0.500
```

---

<Q>
Dy2ThAg: relaxed, PBE-GGA.

Calculated volume   28.743 Å³ per atom
Total moment   0.0 μB/cell

Structure (CIF):
```
data_Dy2ThAg
_space_group_name_H-M_alt 'R 3 m'
_space_group_IT_number 160
_space_group_name_Hall 'R 3 -2"'
_cell_length_a 3.5422
_cell_length_b 3.5422
_cell_length_c 31.7382
_cell_angle_alpha 90.00
_cell_angle_beta 90.00
_cell_angle_gamma 120.00
loop_
_atom_site_label
_atom_site_type_symbol
_atom_site_fract_x
_atom_site_fract_y
_atom_site_fract_z
Dy1 Dy 0.0000 0.0000 0.0000
Dy2 Dy 0.0000 0.0000 0.1851
Th1 Th 0.0000 0.0000 0.7591
Ag1 Ag 0.0000 0.0000 0.5926
```

---

Winner for stability: <Q>

---

<P>
DyTh2Ag: relaxed, PBE-GGA.

Calculated volume   28.551 Å³ per atom
Total moment   0.0 μB/cell

Structure (CIF):
```
data_DyTh2Ag
_space_group_name_H-M_alt 'F m -3 m'
_space_group_IT_number 225
_space_group_name_Hall '-F 4 2 3'
_cell_length_a 7.702
_cell_length_b 7.702
_cell_length_c 7.702
_cell_angle_alpha 90.00
_cell_angle_beta 90.00
_cell_angle_gamma 90.00
loop_
_atom_site_label
_atom_site_type_symbol
_atom_site_fract_x
_atom_site_fract_y
_atom_site_fract_z
Dy1 Dy 0.000 0.000 0.000
Th1 Th 0.250 0.250 0.250
Ag1 Ag 0.000 0.000 0.500
```

---

<Q>
DyTh2Ag: relaxed, PBE-GGA.

Calculated volume   29.373 Å³ per atom
Total moment   0.0 μB/cell

Structure (CIF):
```
data_DyTh2Ag
_space_group_name_H-M_alt 'P 4/m m m'
_space_group_IT_number 123
_space_group_name_Hall '-P 4 2'
_cell_length_a 3.545
_cell_length_b 3.545
_cell_length_c 9.348
_cell_angle_alpha 90.00
_cell_angle_beta 90.00
_cell_angle_gamma 90.00
loop_
_atom_site_label
_atom_site_type_symbol
_atom_site_fract_x
_atom_site_fract_y
_atom_site_fract_z
Dy1 Dy 0.000 0.000 0.000
Th1 Th 0.500 0.500 0.275
Ag1 Ag 0.000 0.000 0.500
```

---

Winner for stability: <Q>

---

<P>
Dy2TiAg: relaxed, PBE-GGA.

Calculated volume   24.716 Å³ per atom
Total moment   5.4 μB/cell

Structure (CIF):
```
data_Dy2TiAg
_space_group_name_H-M_alt 'R -3 m'
_space_group_IT_number 166
_space_group_name_Hall '-R 3 2"'
_cell_length_a 3.2174
_cell_length_b 3.2174
_cell_length_c 33.0837
_cell_angle_alpha 90.00
_cell_angle_beta 90.00
_cell_angle_gamma 120.00
loop_
_atom_site_label
_atom_site_type_symbol
_atom_site_fract_x
_atom_site_fract_y
_atom_site_fract_z
Dy1 Dy 0.0000 0.0000 0.0890
Ti1 Ti 0.0000 0.0000 0.0000
Ag1 Ag 0.0000 0.0000 0.5000
```

---

<Q>
Dy2TiAg: relaxed, PBE-GGA.

Calculated volume   23.949 Å³ per atom
Total moment   0.0 μB/cell

Structure (CIF):
```
data_Dy2TiAg
_space_group_name_H-M_alt 'P 4/m m m'
_space_group_IT_number 123
_space_group_name_Hall '-P 4 2'
_cell_length_a 3.416
_cell_length_b 3.416
_cell_length_c 8.211
_cell_angle_alpha 90.00
_cell_angle_beta 90.00
_cell_angle_gamma 90.00
loop_
_atom_site_label
_atom_site_type_symbol
_atom_site_fract_x
_atom_site_fract_y
_atom_site_fract_z
Dy1 Dy 0.000 0.000 0.249
Ti1 Ti 0.500 0.500 0.500
Ag1 Ag 0.500 0.500 0.000
```

---

<R>
Dy2TiAg: relaxed, PBE-GGA.

Calculated volume   24.142 Å³ per atom
Total moment   2.4 μB/cell

Structure (CIF):
```
data_Dy2TiAg
_space_group_name_H-M_alt 'P 4/m m m'
_space_group_IT_number 123
_space_group_name_Hall '-P 4 2'
_cell_length_a 5.117
_cell_length_b 5.117
_cell_length_c 3.689
_cell_angle_alpha 90.00
_cell_angle_beta 90.00
_cell_angle_gamma 90.00
loop_
_atom_site_label
_atom_site_type_symbol
_atom_site_fract_x
_atom_site_fract_y
_atom_site_fract_z
Dy1 Dy 0.000 0.500 0.000
Ti1 Ti 0.000 0.000 0.500
Ag1 Ag 0.500 0.500 0.500
```

---

Winner for stability: <Q>

---

<P>
Dy3TlAg: relaxed, PBE-GGA.

Calculated volume   27.267 Å³ per atom
Total moment   0.9 μB/cell

Structure (CIF):
```
data_Dy3TlAg
_space_group_name_H-M_alt 'C m c m'
_space_group_IT_number 63
_space_group_name_Hall '-C 2c 2'
_cell_length_a 5.135
_cell_length_b 20.667
_cell_length_c 5.139
_cell_angle_alpha 90.00
_cell_angle_beta 90.00
_cell_angle_gamma 90.00
loop_
_atom_site_label
_atom_site_type_symbol
_atom_site_fract_x
_atom_site_fract_y
_atom_site_fract_z
Dy1 Dy 0.000 0.061 0.250
Dy2 Dy 0.000 0.250 0.250
Dy3 Dy 0.000 0.439 0.250
Tl1 Tl 0.000 0.156 0.750
Ag1 Ag 0.000 0.342 0.750
```

---

<Q>
Dy3TlAg: relaxed, PBE-GGA.

Calculated volume   27.903 Å³ per atom
Total moment   0.0 μB/cell

Structure (CIF):
```
data_Dy3TlAg
_space_group_name_H-M_alt 'C 1 2/c 1'
_space_group_IT_number 15
_space_group_name_Hall '-C 2yc'
_cell_length_a 11.893
_cell_length_b 6.391
_cell_length_c 14.781
_cell_angle_alpha 90.00
_cell_angle_beta 96.53
_cell_angle_gamma 90.00
loop_
_atom_site_label
_atom_site_type_symbol
_atom_site_fract_x
_atom_site_fract_y
_atom_site_fract_z
Dy1 Dy 0.066 0.126 0.105
Dy2 Dy 0.167 0.174 0.796
Dy3 Dy 0.190 0.343 0.402
Tl1 Tl 0.059 0.364 0.591
Ag1 Ag 0.000 0.398 0.250
Ag2 Ag 0.250 0.250 0.000
```

---

Winner for stability: <P>